Compound: Sr2SeCl
Source: the Alexandria database
Functional: PBE-GGA
Structure: optimized geometry

Cell lengths 7.9877, 7.9877, 4.2197 Å; angles 89.75, 89.75, 29.04 degrees
Each line ends with the local moment (μB).
Positions (direct):
Sr  0.9602  0.9602  0.1239  0.06
Sr  0.7173  0.7173  0.6271  0.07
Cl  0.5160  0.5160  0.6228  0.02
Se  0.3065  0.3065  0.1261  0.02

Results
The calculation puts the raw formation energy at -1.7115 eV per atom. The value obtained for the spin magnetization is 0.772 Bohr magnetons per cell. For the offset from the most stable computed form, the calculation gives 0.50 eV/f.u. As for the crystal system: monoclinic.

***

Compound: KGeBr3
Source: the Alexandria database
Functional: PBE-GGA
Structure: optimized geometry

Cell lengths 9.0994, 6.3671, 6.7232 Å; angles 89.98, 90.04, 88.75 degrees
Positions (direct):
Br  0.8488  0.2859  0.7613
Br  0.4598  0.5672  0.3997
Br  0.8146  0.8625  0.1507
Br  0.0937  0.3747  0.2611
Br  0.1283  0.7977  0.6505
Br  0.4830  0.0921  0.8993
Ge  0.7061  0.2280  0.0784
Ge  0.2366  0.4317  0.5784
K  0.7474  0.7868  0.6463
K  0.1953  0.8740  0.1463

Results
The calculation puts the raw formation energy at -1.0296 eV per atom. The value obtained for the spin magnetization is 0.000 Bohr magnetons per cell. As for the crystal system: triclinic.

***

The lowest spin magnetization belongs to which entry?
KGeBr3

***

Number 2 is which compound?
KGeBr3